Material: Zr2FeH5
Method: DFT, PBE
State: relaxed

Cell lengths 6.8988, 6.8988, 5.6381 Å; angles 90.00, 90.00, 90.00 degrees
Sites, in units of the cell vectors:
Zr: 0.0884 0.5884 0.2500
Zr: 0.0884 0.9116 0.7500
Zr: 0.4116 0.5884 0.7500
Zr: 0.4116 0.9116 0.2500
Zr: 0.5884 0.0884 0.7500
Zr: 0.5884 0.4116 0.2500
Zr: 0.9116 0.0884 0.2500
Zr: 0.9116 0.4116 0.7500
Fe: 0.2500 0.2500 0.0102
Fe: 0.2500 0.2500 0.5102
Fe: 0.7500 0.7500 0.4898
Fe: 0.7500 0.7500 0.9898
H: 0.0367 0.1673 0.5725
H: 0.0367 0.3327 0.0725
H: 0.1673 0.0367 0.0725
H: 0.1673 0.4633 0.5725
H: 0.2500 0.7500 0.0000
H: 0.2500 0.7500 0.5000
H: 0.3327 0.0367 0.5725
H: 0.3327 0.4633 0.0725
H: 0.4633 0.1673 0.0725
H: 0.4633 0.3327 0.5725
H: 0.5367 0.6673 0.4275
H: 0.5367 0.8327 0.9275
H: 0.6673 0.5367 0.9275
H: 0.6673 0.9633 0.4275
H: 0.7500 0.2500 0.0000
H: 0.7500 0.2500 0.5000
H: 0.8327 0.5367 0.4275
H: 0.8327 0.9633 0.9275
H: 0.9633 0.6673 0.9275
H: 0.9633 0.8327 0.4275

Computed properties:
The calculated density comes out at 6.02 Mg/m³. As for the total DFT energy (no corrections): -0.420 Ry/atom. The calculation puts the total magnetization at 0.00 μB per formula unit.

=====

Material: SrRhS2
Method: DFT, PBE
State: relaxed

Cell lengths 5.7523, 5.7523, 12.4548 Å; angles 90.00, 90.00, 90.00 degrees
Sites, in units of the cell vectors:
Sr: 0.0000 0.0000 0.0000
Sr: 0.0000 0.5000 0.2500
Sr: 0.5000 0.0000 0.7500
Sr: 0.5000 0.5000 0.5000
Rh: 0.0000 0.0000 0.5000
Rh: 0.0000 0.5000 0.7500
Rh: 0.5000 0.0000 0.2500
Rh: 0.5000 0.5000 0.0000
S: 0.1613 0.2500 0.6250
S: 0.2500 0.6613 0.8750
S: 0.2500 0.8387 0.3750
S: 0.3387 0.2500 0.1250
S: 0.6613 0.7500 0.1250
S: 0.7500 0.1613 0.3750
S: 0.7500 0.3387 0.8750
S: 0.8387 0.7500 0.6250

Computed properties:
The calculated density comes out at 4.10 Mg/m³. As for the total DFT energy (no corrections): -0.383 Ry/atom. The calculation puts the total magnetization at 0.00 μB per formula unit. The energy relative to the lowest polymorph listed for this composition is 0.000 eV per atom.

=====

Material: Ac12SiNi6
Method: DFT, PBE
State: relaxed

Cell lengths 9.1887, 9.1887, 9.1887 Å; angles 109.47, 109.47, 109.47 degrees
Sites, in units of the cell vectors:
Ac: 0.1284 0.3088 0.8196
Ac: 0.1804 0.4892 0.3088
Ac: 0.1804 0.8716 0.6912
Ac: 0.3088 0.1804 0.4892
Ac: 0.3088 0.8196 0.1284
Ac: 0.4892 0.3088 0.1804
Ac: 0.5108 0.6912 0.8196
Ac: 0.6912 0.1804 0.8716
Ac: 0.6912 0.8196 0.5108
Ac: 0.8196 0.1284 0.3088
Ac: 0.8196 0.5108 0.6912
Ac: 0.8716 0.6912 0.1804
Si: 0.0000 0.0000 0.0000
Ni: 0.1191 0.5000 0.6191
Ni: 0.3809 0.8809 0.5000
Ni: 0.5000 0.3809 0.8809
Ni: 0.5000 0.6191 0.1191
Ni: 0.6191 0.1191 0.5000
Ni: 0.8809 0.5000 0.3809

Computed properties:
The calculated density comes out at 8.63 Mg/m³. As for the total DFT energy (no corrections): -0.361 Ry/atom. The calculation puts the total magnetization at 0.00 μB per formula unit.

=====

Material: SbAs2Pb2
Method: DFT, PBE
State: relaxed

Cell lengths 8.0965, 8.0965, 4.1663 Å; angles 90.00, 90.00, 90.00 degrees
Sites, in units of the cell vectors:
Sb: 0.0000 0.0000 0.0000
Sb: 0.5000 0.5000 0.0000
As: 0.1685 0.3315 0.0000
As: 0.3315 0.8315 0.0000
As: 0.6685 0.1685 0.0000
As: 0.8315 0.6685 0.0000
Pb: 0.1479 0.6479 0.5000
Pb: 0.3521 0.1479 0.5000
Pb: 0.6479 0.8521 0.5000
Pb: 0.8521 0.3521 0.5000

Computed properties:
The calculated density comes out at 8.34 Mg/m³. As for the total DFT energy (no corrections): -0.298 Ry/atom. The calculation puts the total magnetization at 0.00 μB per formula unit. The energy relative to the lowest polymorph listed for this composition is 0.019 eV per atom.

=====

| no. | calculated volume (Å³ per atom) |
| --- | --- |
| 1 | 8.39 |
| 2 | 25.76 |
| 3 | 31.43 |
| 4 | 27.31 |